Record 1
Crystalline TbPr2Br6 at its relaxed geometry. Source: Alexandria, functional PBE-GGA.

Cell: 7.497 7.497 11.258 Å, 90.00 90.00 90.00°
Fractional positions:
Tb 0.000 0.000 0.000
Tb 0.500 0.500 0.500
Pr 0.000 0.000 0.341
Pr 0.000 0.000 0.659
Pr 0.500 0.500 0.159
Pr 0.500 0.500 0.841
Br 0.213 0.213 0.162
Br 0.213 0.213 0.838
Br 0.229 0.229 0.500
Br 0.271 0.729 0.000
Br 0.287 0.713 0.338
Br 0.287 0.713 0.662
Br 0.713 0.287 0.338
Br 0.713 0.287 0.662
Br 0.729 0.271 0.000
Br 0.771 0.771 0.500
Br 0.787 0.787 0.162
Br 0.787 0.787 0.838

Results
V = 316 Å³/f.u.
Calculated density = 4.830 g/cm3
Space-group type = P4_2/mnm, No. 136
Energy relative to the elements, uncorrected = -1578 meV/atom
Crystal system = tetragonal


Record 2
Crystalline Nd4Y5Hg at its relaxed geometry. Source: Alexandria, functional PBE-GGA.

Cell: 3.638 3.638 24.322 Å, 90.00 90.00 90.00°
Fractional positions:
Nd 0.000 0.000 0.105
Nd 0.000 0.000 0.315
Nd 0.000 0.000 0.685
Nd 0.000 0.000 0.895
Y 0.500 0.500 0.000
Y 0.500 0.500 0.210
Y 0.500 0.500 0.420
Y 0.500 0.500 0.580
Y 0.500 0.500 0.790
Hg 0.000 0.000 0.500

Results
V = 322 Å³/f.u.
DFT formation energy = -0.089 eV per atom
Calculated density = 6.304 g/cm3
Space-group type = P4/mmm, No. 123
Crystal system = tetragonal


Record 3
Crystalline Pm5Hg5Rh2 at its relaxed geometry. Source: Alexandria, functional PBE-GGA.

Cell: 8.550 8.550 12.125 Å, 128.26 128.26 27.17°
Fractional positions:
Pm 0.000 0.000 0.000
Pm 0.130 0.130 0.837
Pm 0.170 0.170 0.530
Pm 0.830 0.830 0.470
Pm 0.870 0.870 0.163
Hg 0.247 0.247 0.222
Hg 0.426 0.426 0.731
Hg 0.500 0.500 0.500
Hg 0.574 0.574 0.269
Hg 0.753 0.753 0.778
Rh 0.367 0.367 0.993
Rh 0.633 0.633 0.007

Results
V = 312 Å³/f.u.
DFT formation energy = -0.518 eV per atom
Calculated density = 10.292 g/cm3
Space-group type = C2/m, No. 12
Crystal system = monoclinic


Record 4
Crystalline CuAgS4 at its relaxed geometry. Source: Alexandria, functional PBE-GGA.

Cell: 6.244 6.596 7.540 Å, 77.98 85.62 88.85°
Fractional positions:
Cu 0.058 0.192 0.342
Cu 0.942 0.808 0.658
Ag 0.112 0.729 0.168
Ag 0.888 0.271 0.832
S 0.168 0.156 0.048
S 0.218 0.672 0.489
S 0.263 0.954 0.553
S 0.305 0.384 0.155
S 0.695 0.616 0.845
S 0.737 0.046 0.447
S 0.782 0.328 0.511
S 0.832 0.844 0.952

Results
V = 151 Å³/f.u.
Calculated density = 3.286 g/cm3
Space-group type = P-1, No. 2
Energy relative to the elements, uncorrected = 91 meV/atom
Crystal system = triclinic


Record 5
Crystalline YSn2F at its relaxed geometry. Source: Alexandria, functional PBE-GGA.

Cell: 5.443 5.443 15.336 Å, 90.00 90.00 90.00°
Fractional positions:
Y 0.000 0.000 0.000
Y 0.000 0.500 0.250
Y 0.500 0.000 0.750
Y 0.500 0.500 0.500
Sn 0.109 0.250 0.625
Sn 0.250 0.609 0.875
Sn 0.250 0.891 0.375
Sn 0.391 0.250 0.125
Sn 0.609 0.750 0.125
Sn 0.750 0.109 0.375
Sn 0.750 0.391 0.875
Sn 0.891 0.750 0.625
F 0.000 0.000 0.500
F 0.000 0.500 0.750
F 0.500 0.000 0.250
F 0.500 0.500 0.000

Results
V = 114 Å³/f.u.
Calculated density = 5.049 g/cm3
Space-group type = I-42d, No. 122
Energy relative to the elements, uncorrected = -602 meV/atom
Crystal system = tetragonal


Record 6
Crystalline Pu3BrO3 at its relaxed geometry. Source: Alexandria, functional PBE-GGA.

Cell: 8.340 8.340 8.340 Å, 48.19 48.19 48.19°
Fractional positions:
Pu 0.105 0.773 0.433
Pu 0.227 0.567 0.895
Pu 0.433 0.105 0.773
Pu 0.567 0.895 0.227
Pu 0.773 0.433 0.105
Pu 0.895 0.227 0.567
Br 0.333 0.333 0.333
Br 0.667 0.667 0.667
O 0.123 0.461 0.790
O 0.210 0.877 0.539
O 0.461 0.790 0.123
O 0.539 0.210 0.877
O 0.790 0.123 0.461
O 0.877 0.539 0.210

Results
V = 148 Å³/f.u.
Calculated density = 9.668 g/cm3
Space-group type = R-3, No. 148
Energy relative to the elements, uncorrected = -2481 meV/atom
Crystal system = trigonal


Record 7
Crystalline BaTl2P2S6 at its relaxed geometry. Source: Alexandria, functional PBE-GGA.

Cell: 9.065 9.065 9.065 Å, 45.20 45.20 45.20°
Fractional positions:
Ba 0.000 0.000 0.000
Tl 0.212 0.212 0.212
Tl 0.788 0.788 0.788
P 0.408 0.408 0.408
P 0.592 0.592 0.592
S 0.245 0.730 0.730
S 0.270 0.270 0.755
S 0.270 0.755 0.270
S 0.730 0.245 0.730
S 0.730 0.730 0.245
S 0.755 0.270 0.270

Results
V = 342 Å³/f.u.
Calculated density = 3.891 g/cm3
Space-group type = R-3m, No. 166
Energy relative to the elements, uncorrected = -526 meV/atom
Crystal system = trigonal


Record 8
Crystalline LaCe2S5 at its relaxed geometry. Source: Alexandria, functional PBE-GGA.

Cell: 12.157 8.205 7.522 Å, 90.00 90.00 90.00°
Fractional positions:
La 0.009 0.250 0.080
La 0.491 0.750 0.580
La 0.509 0.250 0.420
La 0.991 0.750 0.920
Ce 0.180 0.501 0.508
Ce 0.180 0.999 0.508
Ce 0.320 0.001 0.008
Ce 0.320 0.499 0.008
Ce 0.680 0.501 0.992
Ce 0.680 0.999 0.992
Ce 0.820 0.001 0.492
Ce 0.820 0.499 0.492
S 0.003 0.250 0.471
S 0.111 0.545 0.160
S 0.111 0.955 0.160
S 0.189 0.250 0.821
S 0.219 0.750 0.788
S 0.281 0.250 0.288
S 0.311 0.750 0.321
S 0.389 0.045 0.660
S 0.389 0.455 0.660
S 0.497 0.750 0.971
S 0.503 0.250 0.029
S 0.611 0.545 0.340
S 0.611 0.955 0.340
S 0.689 0.250 0.679
S 0.719 0.750 0.712
S 0.781 0.250 0.212
S 0.811 0.750 0.179
S 0.889 0.045 0.840
S 0.889 0.455 0.840
S 0.997 0.750 0.529

Results
V = 188 Å³/f.u.
Calculated density = 5.130 g/cm3
Space-group type = Pnma, No. 62
Energy relative to the elements, uncorrected = -1964 meV/atom
Crystal system = orthorhombic


- The lowest V belongs to which entry?
  YSn2F